# AlCd2W

AlCd2W at its PBEsol-relaxed geometry (meta-GGA SCAN, Alexandria via LeMat-Bulk).

Output
* crystal system: tetragonal
* DFT formation energy: 193 kJ/mol of formula units
* total magnetic moment: 0.0 μB per cell

Cell and atoms, written as extended XYZ:
```
4
Lattice="2.815 0.000 0.000 0.000 2.815 0.000 0.000 0.000 9.055" Properties=species:S:1:pos:R:3 pbc="T T T"
Al 0.000 0.000 0.000
Cd 1.408 1.408 2.312
Cd 1.408 1.408 6.743
W 0.000 0.000 4.528
```